Entry 1:
The following is a GGA-PBE calculation of an optimized crystal structure of Tb2Pr4Sm3, from the Alexandria database.

Cell: 6.3231 6.3243 9.6559 Å, 90.08 108.90 119.98°
Closest atoms and distances in Å follow each position.
Positions (direct):
Tb1 0.2239 0.2790 0.3349  6 Pr 3.62-3.67, 1 Tb 3.63, 5 Sm 3.63-3.67
Tb2 0.7761 0.7210 0.6651  6 Pr 3.62-3.67, 1 Tb 3.63, 5 Sm 3.63-3.67
Pr1 0.1107 0.3884 0.6653  4 Tb 3.62-3.66, 3 Pr 3.64-3.67, 5 Sm 3.64-3.66
Pr2 0.3318 0.1655 0.9999  5 Pr 3.63-3.67, 5 Sm 3.65-3.67, 2 Tb 3.65-3.67
Pr3 0.6682 0.8345 0.0001  5 Pr 3.63-3.67, 5 Sm 3.65-3.67, 2 Tb 3.65-3.67
Pr4 0.8893 0.6116 0.3347  4 Tb 3.62-3.66, 3 Pr 3.64-3.67, 5 Sm 3.64-3.66
Sm1 0.0000 0.5000 0.0000  8 Pr 3.65-3.66, 2 Sm 3.66, 2 Tb 3.67
Sm2 0.4455 0.0566 0.6651  2 Sm 3.62-3.66, 4 Tb 3.63-3.67, 6 Pr 3.64-3.67
Sm3 0.5545 0.9434 0.3349  2 Sm 3.62-3.66, 4 Tb 3.63-3.67, 6 Pr 3.64-3.67

## Properties
DOS(E_F)	1.463	states/eV/atom
ΔE_f	15	meV/atom
DFT total energy	-42.402	eV per formula unit

Entry 2:
The following is a GGA-PBE calculation of an optimized crystal structure of Tb4PrSm15, from the Alexandria database.

Cell: 5.1191 5.1191 25.5822 Å, 90.00 90.00 90.00°
Closest atoms and distances in Å follow each position.
Positions (direct):
Tb1 0.0000 0.0000 0.0996  12 Sm 3.61-3.62
Tb2 0.0000 0.0000 0.2988  12 Sm 3.61-3.62
Tb3 0.0000 0.0000 0.7012  12 Sm 3.61-3.62
Tb4 0.0000 0.0000 0.9004  12 Sm 3.61-3.62
Pr1 0.0000 0.0000 0.5000  12 Sm 3.62-3.65
Sm1 0.0000 0.5000 0.0000  4 Tb 3.61, 8 Sm 3.61-3.62
Sm2 0.0000 0.5000 0.1992  8 Sm 3.61-3.62, 4 Tb 3.61
Sm3 0.0000 0.5000 0.3984  2 Tb 3.61, 8 Sm 3.62-3.65, 2 Pr 3.65
Sm4 0.0000 0.5000 0.6016  2 Tb 3.61, 8 Sm 3.62-3.65, 2 Pr 3.65
Sm5 0.0000 0.5000 0.8008  8 Sm 3.61-3.62, 4 Tb 3.61
Sm6 0.5000 0.0000 0.0000  4 Tb 3.61, 8 Sm 3.61-3.62
Sm7 0.5000 0.0000 0.1992  8 Sm 3.61-3.62, 4 Tb 3.61
Sm8 0.5000 0.0000 0.3984  2 Tb 3.61, 8 Sm 3.62-3.65, 2 Pr 3.65
Sm9 0.5000 0.0000 0.6016  2 Tb 3.61, 8 Sm 3.62-3.65, 2 Pr 3.65
Sm10 0.5000 0.0000 0.8008  8 Sm 3.61-3.62, 4 Tb 3.61
Sm11 0.5000 0.5000 0.0996  8 Sm 3.61, 4 Tb 3.62
Sm12 0.5000 0.5000 0.2985  8 Sm 3.61-3.62, 4 Tb 3.62
Sm13 0.5000 0.5000 0.5000  4 Pr 3.62, 8 Sm 3.65
Sm14 0.5000 0.5000 0.7015  8 Sm 3.61-3.62, 4 Tb 3.62
Sm15 0.5000 0.5000 0.9004  8 Sm 3.61, 4 Tb 3.62

## Properties
DOS(E_F)	1.413	states/eV/atom
ΔE_f	16	meV/atom
DFT total energy	-93.762	eV per formula unit

Entry 3:
The following is a GGA-PBE calculation of an optimized crystal structure of Tb5Pr6Sm, from the Alexandria database.

Cell: 8.2004 8.2004 10.1942 Å, 90.01 90.01 143.25°
Closest atoms and distances in Å follow each position.
Positions (direct):
Tb1 0.0000 0.0000 0.0000  8 Pr 3.62-3.63, 4 Tb 3.66
Tb2 0.3333 0.6667 0.0000  8 Pr 3.63, 4 Tb 3.66
Tb3 0.3328 0.6672 0.5000  8 Pr 3.63-3.65, 2 Tb 3.65, 2 Sm 3.67
Tb4 0.6667 0.3333 0.0000  8 Pr 3.63, 4 Tb 3.66
Tb5 0.6672 0.3328 0.5000  8 Pr 3.63-3.65, 2 Tb 3.65, 2 Sm 3.67
Pr1 0.1669 0.8334 0.2494  7 Tb 3.63-3.64, 1 Sm 3.64, 4 Pr 3.66
Pr2 0.1666 0.8331 0.7506  7 Tb 3.63-3.64, 1 Sm 3.64, 4 Pr 3.66
Pr3 0.5002 0.5002 0.2491  6 Tb 3.62-3.65, 2 Sm 3.63-3.64, 4 Pr 3.66
Pr4 0.4998 0.4998 0.7509  6 Tb 3.62-3.65, 2 Sm 3.63-3.64, 4 Pr 3.66
Pr5 0.8334 0.1669 0.2494  7 Tb 3.63-3.64, 1 Sm 3.64, 4 Pr 3.66
Pr6 0.8331 0.1666 0.7506  7 Tb 3.63-3.64, 1 Sm 3.64, 4 Pr 3.66
Sm1 0.0000 0.0000 0.5000  8 Pr 3.63-3.64, 4 Tb 3.67

## Properties
DOS(E_F)	1.386	states/eV/atom
ΔE_f	15	meV/atom
DFT total energy	-56.368	eV per formula unit

Entry 4:
The following is a GGA-PBE calculation of an optimized crystal structure of Tb2PrSm2, from the Alexandria database.

Cell: 9.4773 9.4773 3.8021 Å, 90.00 90.00 90.00°
Closest atoms and distances in Å follow each position.
Positions (direct):
Tb1 0.1706 0.3294 0.0000  6 Sm 3.31-3.43
Tb2 0.3294 0.8294 0.0000  6 Sm 3.31-3.43
Tb3 0.6706 0.1706 0.0000  6 Sm 3.31-3.43
Tb4 0.8294 0.6706 0.0000  6 Sm 3.31-3.43
Pr1 0.0000 0.0000 0.5000  4 Sm 3.73, 2 Pr 3.80, 8 Tb 4.00
Pr2 0.5000 0.5000 0.5000  4 Sm 3.73, 2 Pr 3.80, 8 Tb 4.00
Sm1 0.1270 0.6270 0.5000  6 Tb 3.31-3.43, 1 Sm 3.41
Sm2 0.3730 0.1270 0.5000  6 Tb 3.31-3.43, 1 Sm 3.41
Sm3 0.6270 0.8730 0.5000  6 Tb 3.31-3.43, 1 Sm 3.41
Sm4 0.8730 0.3730 0.5000  6 Tb 3.31-3.43, 1 Sm 3.41

## Properties
DOS(E_F)	1.100	states/eV/atom
ΔE_f	86	meV/atom
DFT total energy	-23.048	eV per formula unit